{"formula": "RbBi2Pd", "functional": "PBE-GGA", "state": "relaxed", "crystal_system": "tetragonal", "delta_e_f_ev_per_atom": -0.16, "n_ef_per_ev_atom": 0.48, "polymorph_energy_ev_per_atom": 0.133, "lattice_angstrom": [[3.7244, 0.0000, 0.0000], [0.0000, 3.7244, 0.0000], [0.0000, 0.0000, 8.8315]], "species": ["Rb", "Bi", "Bi", "Pd"], "frac_coords": [[0.0000, 0.0000, 0.0000], [0.5000, 0.5000, 0.3273], [0.5000, 0.5000, 0.6727], [0.0000, 0.0000, 0.5000]]}

=====

{"formula": "La12Dy7Ho", "functional": "PBE-GGA", "state": "relaxed", "crystal_system": "trigonal", "delta_e_f_ev_per_atom": 0.19, "n_ef_per_ev_atom": 1.81, "polymorph_energy_ev_per_atom": 0.005, "lattice_angstrom": [[6.2551, 3.6114, 5.1522], [-6.2551, 3.6114, 5.1522], [0.0000, -7.2227, 5.1522]], "species": ["La", "La", "La", "La", "La", "La", "La", "La", "La", "La", "La", "La", "Dy", "Dy", "Dy", "Dy", "Dy", "Dy", "Dy", "Ho"], "frac_coords": [[0.0185, 0.8916, 0.3558], [0.1084, 0.6442, 0.9815], [0.2175, 0.3552, 0.7663], [0.2337, 0.7825, 0.6448], [0.3552, 0.7663, 0.2175], [0.3558, 0.0185, 0.8916], [0.6442, 0.9815, 0.1084], [0.6448, 0.2337, 0.7825], [0.7663, 0.2175, 0.3552], [0.7825, 0.6448, 0.2337], [0.8916, 0.3558, 0.0185], [0.9815, 0.1084, 0.6442], [0.0000, 0.0000, 0.0000], [0.1244, 0.4405, 0.3593], [0.3593, 0.1244, 0.4405], [0.4405, 0.3593, 0.1244], [0.5595, 0.6407, 0.8756], [0.6407, 0.8756, 0.5595], [0.8756, 0.5595, 0.6407], [0.5000, 0.5000, 0.5000]]}

=====

{"formula": "SrLiLa2", "functional": "PBE-GGA", "state": "relaxed", "crystal_system": "trigonal", "delta_e_f_ev_per_atom": 0.18, "n_ef_per_ev_atom": 1.31, "polymorph_energy_ev_per_atom": 0.103, "lattice_angstrom": [[1.8838, 1.0876, 12.0821], [-1.8838, 1.0876, 12.0821], [0.0000, -2.1752, 12.0821]], "species": ["Sr", "Li", "La", "La"], "frac_coords": [[0.0000, 0.0000, 0.0000], [0.5000, 0.5000, 0.5000], [0.2408, 0.2408, 0.2408], [0.7592, 0.7592, 0.7592]]}